1.
Here is crystalline PuCu4Ge4 at its relaxed geometry from Alexandria via LeMat-Bulk. Energies are from PBE.

abc: 5.9932 5.9932 8.3459
angles: 90.00 90.00 90.00
Closest atoms and distances in Å follow each position.
Fractional positions:
1 Pu 0.2500 0.7500 0.2500  4 Ge 2.98
2 Pu 0.7500 0.2500 0.7500  4 Ge 2.98
3 Cu 0.0304 0.2500 0.1655  5 Ge 2.40-2.58, 1 Cu 2.63
4 Cu 0.2500 0.0304 0.6655  5 Ge 2.40-2.58, 1 Cu 2.63
5 Cu 0.2500 0.4696 0.6655  5 Ge 2.40-2.58, 1 Cu 2.63
6 Cu 0.4696 0.2500 0.1655  5 Ge 2.40-2.58, 1 Cu 2.63
7 Cu 0.5304 0.7500 0.8345  5 Ge 2.40-2.58, 1 Cu 2.63
8 Cu 0.7500 0.5304 0.3345  5 Ge 2.40-2.58, 1 Cu 2.63
9 Cu 0.7500 0.9696 0.3345  5 Ge 2.40-2.58, 1 Cu 2.63
10 Cu 0.9696 0.7500 0.8345  5 Ge 2.40-2.58, 1 Cu 2.63
11 Ge 0.0280 0.2500 0.4534  5 Cu 2.40-2.58, 1 Ge 2.66
12 Ge 0.2500 0.0280 0.9534  5 Cu 2.40-2.58, 1 Ge 2.66
13 Ge 0.2500 0.4720 0.9534  5 Cu 2.40-2.58, 1 Ge 2.66
14 Ge 0.4720 0.2500 0.4534  5 Cu 2.40-2.58, 1 Ge 2.66
15 Ge 0.5280 0.7500 0.5466  5 Cu 2.40-2.58, 1 Ge 2.66
16 Ge 0.7500 0.5280 0.0466  5 Cu 2.40-2.58, 1 Ge 2.66
17 Ge 0.7500 0.9720 0.0466  5 Cu 2.40-2.58, 1 Ge 2.66
18 Ge 0.9720 0.7500 0.5466  5 Cu 2.40-2.58, 1 Ge 2.66

Results
D(E_F): 1.382 states/eV/atom
Energy relative to the elements: -0.05 eV/atom
Total DFT energy (no corrections): -99.3 eV per cell
V: 16.65 Å³ per atom

---

2.
Here is crystalline ZrTi2C2 at its relaxed geometry from Alexandria via LeMat-Bulk. Energies are from PBE.

abc: 5.6045 5.6045 5.1800
angles: 110.68 110.68 100.11
Closest atoms and distances in Å follow each position.
Fractional positions:
1 Zr 0.1321 0.8679 0.7500  2 C 2.32-2.56
2 Zr 0.8679 0.1321 0.2500  2 C 2.32-2.56
3 Ti 0.2274 0.4534 0.9724  3 C 2.03-2.21
4 Ti 0.4534 0.2274 0.4724  3 C 2.03-2.21
5 Ti 0.5466 0.7726 0.5276  3 C 2.03-2.21
6 Ti 0.7726 0.5466 0.0276  3 C 2.03-2.21
7 C 0.1654 0.8346 0.2500  4 Ti 2.10-2.28
8 C 0.4017 0.5983 0.7500  4 Ti 2.03-2.21
9 C 0.5983 0.4017 0.2500  4 Ti 2.03-2.21
10 C 0.8346 0.1654 0.7500  4 Ti 2.10-2.28

Results
Energy above the most stable polymorph in this dataset: 358.2 meV/atom
D(E_F): 0.663 states/eV/atom
Energy relative to the elements: -0.31 eV/atom
Total DFT energy (no corrections): -88.6 eV per cell
V: 13.38 Å³ per atom

---

3.
Here is crystalline AgW2Au at its relaxed geometry from Alexandria via LeMat-Bulk. Energies are from PBE.

abc: 9.9376 9.9376 9.9376
angles: 16.36 16.36 16.36
Closest atoms and distances in Å follow each position.
Fractional positions:
1 Ag 0.0000 0.0000 0.0000  6 Ag 2.83, 3 W 2.97, 3 Au 2.99
2 W 0.4994 0.4994 0.4994  9 W 2.83-2.91, 3 Au 2.92
3 W 0.7509 0.7509 0.7509  9 W 2.83-2.91, 3 Ag 2.97
4 Au 0.2482 0.2482 0.2482  6 Au 2.83, 3 W 2.92, 3 Ag 2.99

Results
Energy above the most stable polymorph in this dataset: 113.0 meV/atom
D(E_F): 0.955 states/eV/atom
Energy relative to the elements: 0.40 eV/atom
Total DFT energy (no corrections): -30.4 eV per cell
V: 16.97 Å³ per atom

---

4.
Here is crystalline BaZn2Si2 at its relaxed geometry from Alexandria via LeMat-Bulk. Energies are from PBE.

abc: 6.0478 6.0478 6.0478
angles: 136.22 136.22 63.64
Closest atoms and distances in Å follow each position.
Fractional positions:
1 Ba 0.0000 0.0000 0.0000  8 Si 3.42, 8 Zn 3.42
2 Zn 0.2500 0.7500 0.5000  4 Si 2.62
3 Zn 0.7500 0.2500 0.5000  4 Si 2.62
4 Si 0.3801 0.3801 0.0000  1 Si 2.46, 4 Zn 2.62
5 Si 0.6199 0.6199 0.0000  1 Si 2.46, 4 Zn 2.62

Results
D(E_F): 0.124 states/eV/atom
Total DFT energy (no corrections): -16.8 eV per cell
Formation energy (no corrections): -291 meV per atom
V: 20.90 Å³ per atom

---

5.
Here is crystalline Rb7TeCl5 at its relaxed geometry from Alexandria via LeMat-Bulk. Energies are from PBE.

abc: 8.1849 8.1849 27.9152
angles: 90.02 90.02 34.86
Closest atoms and distances in Å follow each position.
Fractional positions:
1 Rb 0.0461 0.0461 0.2500  2 Cl 3.28-3.29, 2 Te 3.51
2 Rb 0.1336 0.1336 0.5353  6 Cl 3.30-3.42
3 Rb 0.1335 0.1335 0.9647  6 Cl 3.30-3.42
4 Rb 0.3170 0.3170 0.1751  3 Cl 3.24-3.43
5 Rb 0.3167 0.3167 0.3250  3 Cl 3.23-3.44
6 Rb 0.4040 0.4040 0.6109  5 Cl 3.37-3.44
7 Rb 0.4035 0.4035 0.8888  5 Cl 3.37-3.45
8 Rb 0.5965 0.5965 0.1112  5 Cl 3.37-3.45
9 Rb 0.5960 0.5960 0.3891  5 Cl 3.37-3.44
10 Rb 0.6833 0.6833 0.6750  3 Cl 3.23-3.44
11 Rb 0.6830 0.6830 0.8249  3 Cl 3.24-3.43
12 Rb 0.8665 0.8665 0.0353  6 Cl 3.30-3.42
13 Rb 0.8664 0.8664 0.4647  6 Cl 3.30-3.42
14 Rb 0.9538 0.9538 0.7500  2 Cl 3.28-3.29, 2 Te 3.51
15 Te 0.2930 0.2930 0.7500  6 Rb 3.51-3.65
16 Te 0.7070 0.7070 0.2500  6 Rb 3.51-3.65
17 Cl 0.0404 0.0404 0.6428  6 Rb 3.28-3.44
18 Cl 0.0403 0.0403 0.8573  6 Rb 3.29-3.43
19 Cl 0.2273 0.2273 0.0705  6 Rb 3.24-3.42
20 Cl 0.2272 0.2272 0.4294  6 Rb 3.23-3.42
21 Cl 0.5000 0.5000 0.0000  6 Rb 3.37-3.45
22 Cl 0.5000 0.5000 0.5000  6 Rb 3.37-3.44
23 Cl 0.7728 0.7728 0.5706  6 Rb 3.23-3.42
24 Cl 0.7727 0.7727 0.9295  6 Rb 3.24-3.42
25 Cl 0.9597 0.9597 0.1427  6 Rb 3.29-3.43
26 Cl 0.9596 0.9596 0.3572  6 Rb 3.28-3.44

Results
Total DFT energy (no corrections): -82.6 eV per cell
Formation energy (no corrections): -1706 meV per atom
V: 41.11 Å³ per atom

---

6.
Here is crystalline PrHoHf at its relaxed geometry from Alexandria via LeMat-Bulk. Energies are from PBE.

abc: 8.0440 8.0440 8.0440
angles: 155.80 155.80 34.48
Closest atoms and distances in Å follow each position.
Fractional positions:
1 Pr 0.0000 0.0000 0.0000  4 Pr 3.37, 4 Hf 3.45
2 Ho 0.6916 0.6916 0.0000  4 Hf 3.27, 4 Ho 3.37
3 Hf 0.3373 0.3373 0.0000  4 Ho 3.27, 4 Hf 3.37, 4 Pr 3.45

Results
Energy above the most stable polymorph in this dataset: 0.0 meV/atom
D(E_F): 1.461 states/eV/atom
Energy relative to the elements: 0.15 eV/atom
Total DFT energy (no corrections): -18.9 eV per cell
V: 29.11 Å³ per atom

---

7.
Here is crystalline CaAg2Os at its relaxed geometry from Alexandria via LeMat-Bulk. Energies are from PBE.

abc: 5.0741 5.0741 5.0741
angles: 129.20 129.20 74.69
Closest atoms and distances in Å follow each position.
Fractional positions:
1 Ca 0.0000 0.0000 0.0000  8 Ag 2.97, 4 Os 3.08
2 Ag 0.2500 0.7500 0.5000  4 Ca 2.97, 4 Os 2.97, 4 Ag 3.08
3 Ag 0.7500 0.2500 0.5000  4 Ca 2.97, 4 Os 2.97, 4 Ag 3.08
4 Os 0.5000 0.5000 0.0000  8 Ag 2.97, 4 Ca 3.08

Results
Energy above the most stable polymorph in this dataset: 96.1 meV/atom
D(E_F): 1.094 states/eV/atom
Energy relative to the elements: 0.54 eV/atom
Total DFT energy (no corrections): -16.8 eV per cell
V: 19.11 Å³ per atom